[1]
The following is a GGA-PBE calculation of a geometry-optimized LiTaS3 structure, from Alexandria via LeMat-Bulk.

Computed properties:
The calculation puts the uncorrected energy at -23.62 eV/f.u. Its space-group type is Pm-3m. Its energy above the most stable polymorph in this dataset is 1.5347 eV/atom. The formation energy without anion corrections is 0.51 eV per atom. Its total magnetization is 0.00 μB/cell.

abc: 4.272 4.272 4.272
angles: 90.00 90.00 90.00
Fractional coordinates of all 5 atoms:
Ta 0.500 0.500 0.500
S 0.000 0.000 0.500
S 0.500 0.000 0.000
S 0.000 0.500 0.000
Li 0.000 0.000 0.000

[2]
The following is a GGA-PBE calculation of a geometry-optimized Li2AlCd2 structure, from Alexandria via LeMat-Bulk.

Computed properties:
As for the energy of formation from the pure elements: -0.05 eV per atom. The calculation puts the uncorrected energy at -9.66 eV/f.u. Its space-group type is P4/mbm. Its energy above the most stable polymorph in this dataset is 0.1247 eV/atom. Its total magnetization is 0.00 μB/cell.

abc: 7.659 7.659 3.124
angles: 90.00 90.00 90.00
Fractional coordinates of all 10 atoms:
Li 0.637 0.137 0.000
Li 0.363 0.863 0.000
Li 0.863 0.637 0.000
Li 0.137 0.363 0.000
Cd 0.659 0.841 0.500
Cd 0.841 0.341 0.500
Cd 0.341 0.159 0.500
Cd 0.159 0.659 0.500
Al 0.500 0.500 0.000
Al 0.000 0.000 0.000